CaH3W: optimized geometry, PBE-GGA.

Summary:
**M_tot**: 0.00 μB per formula unit
**Energy above the most stable polymorph in this dataset**: 0 meV per atom
**Total energy**: -4.99 eV/atom

Unit cell a=3.7133 b=3.7133 c=3.7133 alpha=90.00 beta=90.00 gamma=90.00
Closest atoms and distances in Å follow each position.
Space group Pm-3m (No. 221)
One atom of each set of equivalent atoms:
1 Ca 0.0000 0.0000 0.0000  12 H 2.63
2 H 0.0000 0.5000 0.5000  2 W 1.86
3 W 0.5000 0.5000 0.5000  6 H 1.86